# 1
4
Lattice="-1.7979 -3.3632 1.6719 -4.0198 -0.7963 -0.7392 -1.0749 -3.2091 -2.4260" Properties=species:S:1:pos:R:3 comment="TcBRu2, relaxed, DFT PBE-GGA" ef_ev_per_atom=0.520 de_polymorph_mev_per_atom=558.8 energy_ev_per_atom=-8.3790 dos_at_fermi_per_ev_cell=2.93 pbc="T T T"
B 0.0000 0.0000 0.0000
Ru -5.1694 -5.5265 -1.1199
Ru -1.7231 -1.8422 -0.3733
Tc -3.4463 -3.6843 -0.7466

# 2
24
Lattice="-0.2522 3.9415 -2.2888 4.8524 -4.5711 -8.4067 -11.0670 -3.3574 -4.5623" Properties=species:S:1:pos:R:3 comment="Nd3Zn2Rh, relaxed, DFT PBE-GGA" ef_ev_per_atom=-0.428 energy_ev_per_atom=-4.4614 dos_at_fermi_per_ev_cell=24.53 pbc="T T T"
Nd -4.3858 -5.0939 -10.5650
Nd 1.1981 -0.9810 -4.0975
Nd -7.2364 -0.9281 -7.6290
Nd -7.6650 -3.0061 -11.1603
Nd -2.2524 -2.3356 -6.0501
Nd -2.0810 1.1068 -4.6928
Nd -9.6263 -2.2806 -5.1428
Nd -4.2145 -1.6515 -9.2077
Nd -5.6814 -1.3917 -4.0466
Nd -0.7854 -2.5954 -11.2111
Nd 0.7696 -3.0590 -7.6288
Nd 3.1594 -1.7064 -10.1150
Rh -1.3585 -1.2274 -8.7921
Rh -0.7049 -0.0165 -2.2268
Rh -5.7619 -3.9706 -13.0310
Rh -5.1084 -2.7597 -6.4657
Zn -7.1638 -5.9641 -11.7574
Zn -3.3214 -0.0385 -1.9763
Zn 0.0186 -0.0378 -6.8953
Zn -4.4144 -0.0994 -6.5129
Zn -6.4855 -3.9493 -8.3625
Zn 0.6969 1.9770 -3.5003
Zn -3.1454 -3.9486 -13.2815
Zn -2.0524 -3.8877 -8.7449

# 3
8
Lattice="3.4297 0.0000 0.0000 1.7149 7.7214 -0.3725 1.7149 1.9678 7.4757" Properties=species:S:1:pos:R:3 comment="TmSc5Tl2, relaxed, DFT PBE-GGA" ef_ev_per_atom=-0.128 de_polymorph_mev_per_atom=60.9 energy_ev_per_atom=-5.2361 dos_at_fermi_per_ev_cell=11.48 pbc="T T T"
Sc 3.4297 7.4022 2.7064
Sc 1.7149 4.8446 3.5516
Sc 3.4297 4.8811 0.8582
Sc 3.4297 4.8081 6.2450
Sc 3.4297 2.2870 4.3968
Tl 5.1446 7.3424 5.3827
Tl 1.7149 2.3468 1.7205
Tm 0.0000 0.0000 0.0000

# 4
5
Lattice="-2.1709 2.8514 3.3223 -2.3737 -3.8825 1.7812 3.6788 -0.8225 3.1098" Properties=species:S:1:pos:R:3 comment="HfTl3C, relaxed, DFT PBE-GGA" ef_ev_per_atom=1.328 de_polymorph_mev_per_atom=0.0 energy_ev_per_atom=-3.9275 dos_at_fermi_per_ev_cell=5.30 pbc="T T T"
Hf -0.4329 -0.9268 4.1066
Tl -1.0854 1.4257 1.6612
Tl -1.1869 -1.9413 0.8906
Tl 1.8394 -0.4113 1.5549
C 0.0000 0.0000 0.0000

# 5
7
Lattice="7.3763 0.0000 0.0000 0.0000 7.3763 0.0000 3.6882 3.6882 12.3855" Properties=species:S:1:pos:R:3 comment="Cs4Rb2Ag, relaxed, DFT PBE-GGA" ef_ev_per_atom=0.054 energy_ev_per_atom=-1.1174 dos_at_fermi_per_ev_cell=6.45 pbc="T T T"
Cs 3.6882 0.0000 0.0000
Cs 7.3763 7.3763 3.8314
Cs 0.0000 3.6882 0.0000
Cs 3.6882 3.6882 8.5540
Rb 3.6882 3.6882 3.7302
Rb 7.3763 7.3763 8.6552
Ag 0.0000 0.0000 0.0000

# 6
5
Lattice="-2.8522 2.2503 3.3009 -4.0158 0.0808 -3.5250 -1.5343 -4.3618 1.6479" Properties=species:S:1:pos:R:3 comment="LiBi2PbO, relaxed, DFT PBE-GGA" formation_energy_uncorrected_ev_per_atom=0.50 energy_ev_per_atom=-3.1676 dos_at_fermi_per_ev_cell=5.91 pbc="T T T"
Bi -1.4261 1.1252 1.6504
Bi -0.7671 -2.1809 0.8239
Pb -2.0079 0.0404 -1.7625
O -4.2011 -1.0153 0.7119
Li 0.0000 0.0000 0.0000